1.
# CuPtAu2 | the Alexandria database | PBEsol | relaxed
data_CuPtAu2
_space_group_name_H-M_alt 'P 1'
_space_group_IT_number 1
_space_group_name_Hall 'P 1'
_cell_length_a 4.8354
_cell_length_b 4.8354
_cell_length_c 4.7340
_cell_angle_alpha 102.75
_cell_angle_beta 102.75
_cell_angle_gamma 34.33
loop_
_atom_site_label
_atom_site_type_symbol
_atom_site_fract_x
_atom_site_fract_y
_atom_site_fract_z
Cu1 Cu 0.0000 0.0000 0.0000
Pt1 Pt 0.7384 0.7384 0.2378
Au1 Au 0.2549 0.2549 0.7548
Au2 Au 0.4948 0.4948 0.4912
# mass density	17.84	g cm⁻³
# offset from the most stable computed form	0.031	eV/atom

---

2.
# IrSeBr2 | the Alexandria database | PBEsol | relaxed
data_IrSeBr2
_space_group_name_H-M_alt 'P 1'
_space_group_IT_number 1
_space_group_name_Hall 'P 1'
_cell_length_a 7.6572
_cell_length_b 7.6572
_cell_length_c 7.6572
_cell_angle_alpha 95.12
_cell_angle_beta 95.12
_cell_angle_gamma 145.22
loop_
_atom_site_label
_atom_site_type_symbol
_atom_site_fract_x
_atom_site_fract_y
_atom_site_fract_z
Ir1 Ir 0.3750 0.6250 0.7500
Ir2 Ir 0.6250 0.3750 0.2500
Se1 Se 0.1250 0.8750 0.2500
Se2 Se 0.8750 0.1250 0.7500
Br1 Br 0.0000 0.5000 0.5000
Br2 Br 0.5000 0.0000 0.0000
Br3 Br 0.5000 0.5000 0.0000
Br4 Br 0.5000 0.5000 0.5000
# mass density	5.86	g cm⁻³
# raw formation energy	0.337	eV/atom

---

3.
# ZrSiHg | the Alexandria database | PBEsol | relaxed
data_ZrSiHg
_space_group_name_H-M_alt 'P 1'
_space_group_IT_number 1
_space_group_name_Hall 'P 1'
_cell_length_a 4.3989
_cell_length_b 4.3989
_cell_length_c 4.3989
_cell_angle_alpha 60.00
_cell_angle_beta 60.00
_cell_angle_gamma 60.00
loop_
_atom_site_label
_atom_site_type_symbol
_atom_site_fract_x
_atom_site_fract_y
_atom_site_fract_z
Zr1 Zr 0.0000 0.0000 0.0000
Si1 Si 0.2500 0.2500 0.2500
Hg1 Hg 0.5000 0.5000 0.5000
# mass density	8.83	g cm⁻³
# raw formation energy	-0.075	eV/atom
# offset from the most stable computed form	0.000	eV/atom

---

4.
# MoPt4Au | the Alexandria database | PBEsol | relaxed
data_MoPt4Au
_space_group_name_H-M_alt 'P 1'
_space_group_IT_number 1
_space_group_name_Hall 'P 1'
_cell_length_a 5.1621
_cell_length_b 5.1621
_cell_length_c 5.1621
_cell_angle_alpha 60.00
_cell_angle_beta 60.00
_cell_angle_gamma 60.00
loop_
_atom_site_label
_atom_site_type_symbol
_atom_site_fract_x
_atom_site_fract_y
_atom_site_fract_z
Mo1 Mo 0.0000 0.0000 0.0000
Pt1 Pt 0.1246 0.6251 0.6251
Pt2 Pt 0.6251 0.1246 0.6251
Pt3 Pt 0.6251 0.6251 0.1246
Pt4 Pt 0.6251 0.6251 0.6251
Au1 Au 0.2500 0.2500 0.2500
# mass density	18.32	g cm⁻³
# calculated total energy	-42.05	eV per cell

---

5.
# TePb4 | the Alexandria database | PBEsol | relaxed
data_TePb4
_space_group_name_H-M_alt 'P 1'
_space_group_IT_number 1
_space_group_name_Hall 'P 1'
_cell_length_a 8.9631
_cell_length_b 8.9631
_cell_length_c 8.9631
_cell_angle_alpha 151.93
_cell_angle_beta 151.93
_cell_angle_gamma 40.11
loop_
_atom_site_label
_atom_site_type_symbol
_atom_site_fract_x
_atom_site_fract_y
_atom_site_fract_z
Te1 Te 0.0000 0.0000 0.0000
Pb1 Pb 0.2500 0.7500 0.5000
Pb2 Pb 0.4054 0.4054 0.0000
Pb3 Pb 0.5946 0.5946 0.0000
Pb4 Pb 0.7500 0.2500 0.5000
# mass density	9.98	g cm⁻³
# raw formation energy	0.055	eV/atom
# offset from the most stable computed form	0.000	eV/atom

---

6.
# ZrOsCl3 | the Alexandria database | PBEsol | relaxed
data_ZrOsCl3
_space_group_name_H-M_alt 'P 1'
_space_group_IT_number 1
_space_group_name_Hall 'P 1'
_cell_length_a 4.9406
_cell_length_b 4.9406
_cell_length_c 4.9406
_cell_angle_alpha 90.00
_cell_angle_beta 90.00
_cell_angle_gamma 90.00
loop_
_atom_site_label
_atom_site_type_symbol
_atom_site_fract_x
_atom_site_fract_y
_atom_site_fract_z
Zr1 Zr 0.0000 0.0000 0.0000
Os1 Os 0.5000 0.5000 0.5000
Cl1 Cl 0.0000 0.0000 0.5000
Cl2 Cl 0.0000 0.5000 0.0000
Cl3 Cl 0.5000 0.0000 0.0000
# mass density	5.34	g cm⁻³
# raw formation energy	0.464	eV/atom